# 1
PuCo5H11 PBE relaxed; uncorrected energy = -5.0700 eV/atom; magnetic moment = 0.037 μB/atom; space group = No. 12
1.0
4.3514 -0.0383 -1.4884
-2.2638 5.0002 -0.3282
-0.3224 0.5440 5.4621
Co H Pu
5 11 1
direct
0.7045 0.0293 0.3792 Co
0.7045 0.3792 0.0293 Co
0.0000 0.5000 0.5000 Co
0.2955 0.9707 0.6208 Co
0.2955 0.6208 0.9707 Co
0.5000 0.0000 0.0000 H
0.5806 0.2757 0.2757 H
0.6793 0.6370 0.1576 H
0.1173 0.1693 0.4378 H
0.6793 0.1576 0.6370 H
0.4194 0.7243 0.7243 H
0.8827 0.5622 0.8307 H
0.8827 0.8307 0.5622 H
0.1173 0.4378 0.1693 H
0.3207 0.8424 0.3630 H
0.3207 0.3630 0.8424 H
0.0000 0.0000 0.0000 Pu

# 2
BaZn2NiRu PBE relaxed; uncorrected energy = -3.1363 eV/atom; ΔE_f = 0.77 eV per atom; magnetic moment = 0.401 μB/atom; space group = No. 123
1.0
4.6310 0.0000 0.0000
0.0000 5.5279 0.0000
0.0000 0.0000 4.6310
Ni Zn Ba Ru
1 2 1 1
direct
0.0000 0.0000 0.0000 Ni
0.0000 0.0000 0.5000 Zn
0.5000 0.0000 0.0000 Zn
0.0000 0.5000 0.0000 Ba
0.5000 0.5000 0.5000 Ru

# 3
PmPa3Tl3Te8 PBE relaxed; uncorrected energy = -5.1278 eV/atom; magnetic moment = 0.337 μB/atom; space group = No. 166
1.0
-7.3925 -2.1138 4.1389
7.3089 1.4108 4.5636
-4.3863 7.9311 -3.7838
Te Pa Tl Pm
8 3 3 1
direct
0.7561 0.5122 0.2807 Te
0.2439 0.9755 0.7193 Te
0.2439 0.4878 0.7193 Te
0.7398 0.4795 0.7192 Te
0.2684 0.0245 0.2807 Te
0.2602 0.5205 0.2808 Te
0.7561 0.0245 0.2807 Te
0.7316 0.9755 0.7193 Te
0.0000 0.5000 0.5000 Pa
0.5000 0.5000 0.5000 Pa
0.5000 0.0000 0.5000 Pa
0.0000 0.0000 0.0000 Tl
0.0000 0.5000 0.0000 Tl
0.5000 0.5000 0.0000 Tl
0.0000 0.0000 0.5000 Pm

# 4
Tb2YEr2Mg2 PBE relaxed; uncorrected energy = -4.0348 eV/atom; ΔE_f = -0.03 eV per atom; magnetic moment = 0.000 μB/atom; space group = No. 166
1.0
-3.3681 -0.6142 -4.2131
1.8024 -2.2194 -4.6149
-2.5605 -8.1832 -0.2576
Y Mg Er Tb
1 2 2 2
direct
0.0000 0.0000 0.0000 Y
0.7111 0.7111 0.8666 Mg
0.2889 0.2889 0.1334 Mg
0.1547 0.1547 0.5358 Er
0.8453 0.8453 0.4642 Er
0.4270 0.4270 0.7189 Tb
0.5730 0.5730 0.2811 Tb